No. 1
{
  "formula": "RbAsOs2C",
  "functional": "PBE-GGA",
  "state": "relaxed",
  "cell": [[4.688, 0.000, 0.000], [0.000, 4.688, 0.000], [0.000, 0.000, 4.753]],
  "species": ["Rb", "As", "Os", "Os", "C"],
  "fractional_positions": [[0.000, 0.000, 0.000], [0.500, 0.500, 0.500], [0.000, 0.500, 0.500], [0.500, 0.000, 0.500], [0.500, 0.500, 0.000]],
  "total_magnetization_mub_per_fu": 1.9,
  "final_energy_ev_per_atom": -5.1511
}

***

No. 2
{
  "formula": "RbPmHo4Se8",
  "functional": "PBE-GGA",
  "state": "relaxed",
  "cell": [[4.295, 2.479, 7.169], [-4.295, 2.479, 7.169], [0.000, -4.959, 7.169]],
  "species": ["Rb", "Pm", "Ho", "Ho", "Ho", "Ho", "Se", "Se", "Se", "Se", "Se", "Se", "Se", "Se"],
  "fractional_positions": [[0.000, 0.000, 0.000], [0.635, 0.635, 0.635], [0.116, 0.634, 0.634], [0.255, 0.255, 0.255], [0.634, 0.116, 0.634], [0.634, 0.634, 0.116], [0.384, 0.384, 0.860], [0.384, 0.860, 0.384], [0.387, 0.387, 0.387], [0.431, 0.868, 0.868], [0.860, 0.384, 0.384], [0.860, 0.860, 0.860], [0.868, 0.431, 0.868], [0.868, 0.868, 0.431]],
  "total_magnetization_mub_per_fu": 0.0,
  "final_energy_ev_per_atom": -5.4208
}

***

No. 3
{
  "formula": "La3HgN",
  "functional": "PBE-GGA",
  "state": "relaxed",
  "cell": [[8.219, -1.760, 0.000], [8.219, 1.760, 0.000], [-0.187, 0.000, 10.150]],
  "species": ["La", "La", "La", "La", "La", "La", "Hg", "Hg", "N", "N"],
  "fractional_positions": [[0.038, 0.038, 0.298], [0.167, 0.167, 0.651], [0.406, 0.406, 0.053], [0.594, 0.594, 0.947], [0.833, 0.833, 0.349], [0.962, 0.962, 0.702], [0.216, 0.216, 0.142], [0.784, 0.784, 0.858], [0.437, 0.437, 0.312], [0.563, 0.563, 0.688]],
  "total_magnetization_mub_per_fu": 0.0,
  "final_energy_ev_per_atom": -5.2529
}

***

No. 4
{
  "formula": "BAsP2Cl",
  "functional": "PBE-GGA",
  "state": "relaxed",
  "cell": [[4.348, 0.000, 0.000], [0.713, 4.335, 0.000], [0.137, 0.811, 6.660]],
  "species": ["B", "As", "P", "P", "Cl"],
  "fractional_positions": [[0.000, 0.000, 0.000], [0.330, 0.176, 0.786], [0.645, 0.358, 0.011], [0.765, 0.770, 0.837], [0.145, 0.816, 0.243]],
  "total_magnetization_mub_per_fu": 0.0,
  "polymorph_energy_mev_per_atom": 28
}

***

No. 5
{
  "formula": "Sm4DyAg5",
  "functional": "PBE-GGA",
  "state": "relaxed",
  "cell": [[3.666, 0.000, 0.000], [0.000, 3.666, 0.000], [0.000, 0.000, 18.788]],
  "species": ["Sm", "Sm", "Sm", "Sm", "Dy", "Ag", "Ag", "Ag", "Ag", "Ag"],
  "fractional_positions": [[0.000, 0.000, 0.101], [0.000, 0.000, 0.303], [0.000, 0.000, 0.697], [0.000, 0.000, 0.899], [0.000, 0.000, 0.500], [0.500, 0.500, 0.000], [0.500, 0.500, 0.202], [0.500, 0.500, 0.406], [0.500, 0.500, 0.594], [0.500, 0.500, 0.798]],
  "total_magnetization_mub_per_fu": 0.0,
  "final_energy_ev_per_atom": -4.0633
}

***

No. 6
{
  "formula": "ZrNp3U3S8",
  "functional": "PBE-GGA",
  "state": "relaxed",
  "cell": [[3.830, 2.211, 6.362], [-3.830, 2.211, 6.362], [0.000, -4.422, 6.362]],
  "species": ["Zr", "Np", "Np", "Np", "U", "U", "U", "S", "S", "S", "S", "S", "S", "S", "S"],
  "fractional_positions": [[0.000, 0.000, 0.000], [0.000, 0.000, 0.500], [0.000, 0.500, 0.000], [0.500, 0.000, 0.000], [0.000, 0.500, 0.500], [0.500, 0.000, 0.500], [0.500, 0.500, 0.000], [0.247, 0.247, 0.752], [0.247, 0.752, 0.247], [0.248, 0.753, 0.753], [0.249, 0.249, 0.249], [0.751, 0.751, 0.751], [0.752, 0.247, 0.247], [0.753, 0.248, 0.753], [0.753, 0.753, 0.248]],
  "total_magnetization_mub_per_fu": 18.7,
  "final_energy_ev_per_atom": -9.0447
}

***

No. 7
{
  "formula": "RbBaNa",
  "functional": "PBE-GGA",
  "state": "relaxed",
  "cell": [[4.699, 0.000, 0.000], [0.000, 7.043, 0.000], [-2.347, 0.000, 11.272]],
  "species": ["Rb", "Rb", "Ba", "Ba", "Na", "Na"],
  "fractional_positions": [[0.223, 0.250, 0.444], [0.777, 0.750, 0.556], [0.071, 0.750, 0.145], [0.929, 0.250, 0.855], [0.430, 0.750, 0.859], [0.570, 0.250, 0.141]],
  "total_magnetization_mub_per_fu": 0.0,
  "polymorph_energy_mev_per_atom": 39
}

***

No. 8
{
  "formula": "Zr2ScNi",
  "functional": "PBE-GGA",
  "state": "relaxed",
  "cell": [[-2.048, 2.048, 4.673], [2.048, -2.048, 4.673], [2.048, 2.048, -4.673]],
  "species": ["Zr", "Zr", "Sc", "Ni"],
  "fractional_positions": [[0.000, 0.000, 0.000], [0.750, 0.250, 0.500], [0.500, 0.500, 0.000], [0.250, 0.750, 0.500]],
  "total_magnetization_mub_per_fu": 0.0,
  "polymorph_energy_mev_per_atom": 288
}

***

What is the formula in the sixth record?
ZrNp3U3S8

***

Please write out number 6 again, unchanged.
{
  "formula": "ZrNp3U3S8",
  "functional": "PBE-GGA",
  "state": "relaxed",
  "cell": [[3.830, 2.211, 6.362], [-3.830, 2.211, 6.362], [0.000, -4.422, 6.362]],
  "species": ["Zr", "Np", "Np", "Np", "U", "U", "U", "S", "S", "S", "S", "S", "S", "S", "S"],
  "fractional_positions": [[0.000, 0.000, 0.000], [0.000, 0.000, 0.500], [0.000, 0.500, 0.000], [0.500, 0.000, 0.000], [0.000, 0.500, 0.500], [0.500, 0.000, 0.500], [0.500, 0.500, 0.000], [0.247, 0.247, 0.752], [0.247, 0.752, 0.247], [0.248, 0.753, 0.753], [0.249, 0.249, 0.249], [0.751, 0.751, 0.751], [0.752, 0.247, 0.247], [0.753, 0.248, 0.753], [0.753, 0.753, 0.248]],
  "total_magnetization_mub_per_fu": 18.7,
  "final_energy_ev_per_atom": -9.0447
}